Compound: Hf2Tl3CuS6
Source: Alexandria via LeMat-Bulk
Functional: PBE
Structure: relaxed

The structure in POSCAR format:
```
Hf2Tl3CuS6
1.0
3.210 -5.710 0.000
3.210 5.710 0.000
-2.099 0.000 7.557
Hf Tl Cu S
2 3 1 6
Cartesian
3.210 3.811 0.000
3.210 -3.811 0.000
-1.049 0.000 3.778
2.161 1.827 3.778
2.161 -1.827 3.778
3.210 0.000 0.000
-0.012 2.014 6.093
1.122 0.000 1.314
-0.012 -2.014 6.093
4.333 2.014 1.463
3.199 0.000 6.242
4.333 -2.014 1.463
```

Output
- formation energy from raw total energies (eV/atom) = -0.9107
- uncorrected energy (eV per atom) = -5.57